The following is a PBE-GGA calculation of an optimized crystal structure of TbYEr3, from Alexandria.

N(E_F)	18.056	states/eV/cell
energy above the most stable polymorph in this dataset	0	meV/atom
formation energy from the elements	0.003	eV per atom

Structure (CIF):
```
data_TbYEr3
_chemical_formula_sum 'Tb2 Y2 Er6'
_cell_length_a 6.2423
_cell_length_b 6.6642
_cell_length_c 9.1424
_cell_angle_alpha 107.61
_cell_angle_beta 90.05
_cell_angle_gamma 117.84
_space_group_name_H-M_alt 'P -1'
_space_group_IT_number 2
loop_
_space_group_symop_operation_xyz
'x,y,z'
'-x,-y,-z'
loop_
_atom_site_label
_atom_site_fract_x
_atom_site_fract_y
_atom_site_fract_z
Tb1 0.1700 0.0012 0.2510
Y1 0.0331 0.3978 0.1504
Er1 0.2341 0.8003 0.5496
Er2 0.3646 0.3989 0.6490
Er3 0.4340 0.2013 0.9496
```


The following is a PBE-GGA calculation of an optimized crystal structure of TbY5Er3, from Alexandria.

N(E_F)	50.293	states/eV/cell
energy above the most stable polymorph in this dataset	180	meV/atom
formation energy from the elements	0.295	eV per atom

Structure (CIF):
```
data_TbY5Er3
_chemical_formula_sum 'Tb4 Y20 Er12'
_cell_length_a 8.8350
_cell_length_b 8.8350
_cell_length_c 14.8635
_cell_angle_alpha 90.00
_cell_angle_beta 90.00
_cell_angle_gamma 90.00
_space_group_name_H-M_alt 'I 4/m c m'
_space_group_IT_number 140
_space_group_name_Hall '-I 4 2c'
loop_
_atom_site_label
_atom_site_fract_x
_atom_site_fract_y
_atom_site_fract_z
Tb1 0.0000 0.5000 0.2500
Y1 0.0000 0.0000 0.0000
Y2 0.2038 0.2962 0.1338
Er1 0.0000 0.0000 0.2500
Er2 0.1137 0.3863 0.5000
```


The following is a PBE-GGA calculation of an optimized crystal structure of TbY15Er4, from Alexandria.

N(E_F)	28.480	states/eV/cell
formation energy from the elements	0.025	eV per atom

Structure (CIF):
```
data_TbY15Er4
_chemical_formula_sum 'Tb1 Y15 Er4'
_cell_length_a 5.0303
_cell_length_b 5.0303
_cell_length_c 25.1616
_cell_angle_alpha 90.00
_cell_angle_beta 90.00
_cell_angle_gamma 90.00
_space_group_name_H-M_alt 'P 4/m m m'
_space_group_IT_number 123
_space_group_name_Hall '-P 4 2'
loop_
_atom_site_label
_atom_site_fract_x
_atom_site_fract_y
_atom_site_fract_z
Tb1 0.0000 0.0000 0.0000
Y1 0.0000 0.5000 0.1004
Y2 0.0000 0.5000 0.3001
Y3 0.0000 0.5000 0.5000
Y4 0.5000 0.5000 0.0000
Y5 0.5000 0.5000 0.2003
Y6 0.5000 0.5000 0.4000
Er1 0.0000 0.0000 0.2002
Er2 0.0000 0.0000 0.4000
```


The following is a PBE-GGA calculation of an optimized crystal structure of Tb3Y6Er2, from Alexandria.

N(E_F)	69.620	states/eV/cell
formation energy from the elements	0.126	eV per atom

Structure (CIF):
```
data_Tb3Y6Er2
_chemical_formula_sum 'Tb9 Y18 Er6'
_cell_length_a 5.6363
_cell_length_b 5.6363
_cell_length_c 38.5606
_cell_angle_alpha 90.00
_cell_angle_beta 90.00
_cell_angle_gamma 120.00
_space_group_name_H-M_alt 'R -3 m'
_space_group_IT_number 166
_space_group_name_Hall '-R 3 2"'
loop_
_atom_site_label
_atom_site_fract_x
_atom_site_fract_y
_atom_site_fract_z
Tb1 0.0000 0.0000 0.0000
Tb2 0.0000 0.0000 0.2644
Y1 0.0000 0.0000 0.0833
Y2 0.0000 0.0000 0.1714
Y3 0.0000 0.0000 0.3617
Er1 0.0000 0.0000 0.4546
```


The following is a PBE-GGA calculation of an optimized crystal structure of Tb4YEr5, from Alexandria.

N(E_F)	29.207	states/eV/cell
energy above the most stable polymorph in this dataset	117	meV/atom
formation energy from the elements	0.309	eV per atom

Structure (CIF):
```
data_Tb4YEr5
_chemical_formula_sum 'Tb8 Y2 Er10'
_cell_length_a 10.1933
_cell_length_b 10.1933
_cell_length_c 6.2215
_cell_angle_alpha 90.00
_cell_angle_beta 90.00
_cell_angle_gamma 90.00
_space_group_name_H-M_alt 'I 4'
_space_group_IT_number 79
loop_
_space_group_symop_operation_xyz
'x,y,z'
'-y,x,z'
'-x,-y,z'
'y,-x,z'
'x+1/2,y+1/2,z+1/2'
'-y+1/2,x+1/2,z+1/2'
'-x+1/2,-y+1/2,z+1/2'
'y+1/2,-x+1/2,z+1/2'
loop_
_atom_site_label
_atom_site_fract_x
_atom_site_fract_y
_atom_site_fract_z
Tb1 0.0486 0.3484 0.0000
Y1 0.0000 0.0000 0.2292
Er1 0.0000 0.0000 0.7672
Er2 0.1469 0.2323 0.5022
```


The following is a PBE-GGA calculation of an optimized crystal structure of TbY6Er4, from Alexandria.

N(E_F)	80.684	states/eV/cell
energy above the most stable polymorph in this dataset	0	meV/atom
formation energy from the elements	0.123	eV per atom

Structure (CIF):
```
data_TbY6Er4
_chemical_formula_sum 'Tb4 Y24 Er16'
_cell_length_a 5.6523
_cell_length_b 9.6763
_cell_length_c 25.6732
_cell_angle_alpha 90.00
_cell_angle_beta 90.00
_cell_angle_gamma 90.00
_space_group_name_H-M_alt 'C m c m'
_space_group_IT_number 63
_space_group_name_Hall '-C 2c 2'
loop_
_atom_site_label
_atom_site_fract_x
_atom_site_fract_y
_atom_site_fract_z
Tb1 0.0000 0.1742 0.2500
Y1 0.0000 0.1571 0.6811
Y2 0.0000 0.1762 0.1029
Y3 0.0000 0.4920 0.7500
Y4 0.0000 0.5000 0.0000
Er1 0.0000 0.1631 0.5420
Er2 0.0000 0.4881 0.6211
```


The following is a PBE-GGA calculation of an optimized crystal structure of Tb5Y2Er12, from Alexandria.

N(E_F)	30.232	states/eV/cell
energy above the most stable polymorph in this dataset	0	meV/atom
formation energy from the elements	0.125	eV per atom

Structure (CIF):
```
data_Tb5Y2Er12
_chemical_formula_sum 'Tb5 Y2 Er12'
_cell_length_a 5.9850
_cell_length_b 9.6112
_cell_length_c 11.2095
_cell_angle_alpha 70.24
_cell_angle_beta 82.21
_cell_angle_gamma 88.62
_space_group_name_H-M_alt 'P -1'
_space_group_IT_number 2
loop_
_space_group_symop_operation_xyz
'x,y,z'
'-x,-y,-z'
loop_
_atom_site_label
_atom_site_fract_x
_atom_site_fract_y
_atom_site_fract_z
Tb1 0.0000 0.0000 0.0000
Tb2 0.1014 0.9608 0.3443
Tb3 0.4916 0.5483 0.8311
Y1 0.2826 0.5682 0.4191
Er1 0.0379 0.6873 0.6566
Er2 0.0795 0.3132 0.0458
Er3 0.1637 0.3161 0.7301
Er4 0.3841 0.9074 0.7867
Er5 0.4251 0.8191 0.1033
Er6 0.4289 0.1808 0.4864
```


The following is a PBE-GGA calculation of an optimized crystal structure of TbYEr6, from Alexandria.

N(E_F)	14.063	states/eV/cell
energy above the most stable polymorph in this dataset	189	meV/atom
formation energy from the elements	0.211	eV per atom

Structure (CIF):
```
data_TbYEr6
_chemical_formula_sum 'Tb1 Y1 Er6'
_cell_length_a 6.5177
_cell_length_b 6.6862
_cell_length_c 6.8737
_cell_angle_alpha 118.84
_cell_angle_beta 103.59
_cell_angle_gamma 90.31
_space_group_name_H-M_alt 'P -1'
_space_group_IT_number 2
loop_
_space_group_symop_operation_xyz
'x,y,z'
'-x,-y,-z'
loop_
_atom_site_label
_atom_site_fract_x
_atom_site_fract_y
_atom_site_fract_z
Tb1 0.0000 0.0000 0.0000
Y1 0.5000 0.0000 0.0000
Er1 0.2290 0.9058 0.4778
Er2 0.2501 0.4528 0.0005
Er3 0.2692 0.4273 0.5209
```


The following is a PBE-GGA calculation of an optimized crystal structure of TbY5Er6, from Alexandria.

N(E_F)	35.000	states/eV/cell
formation energy from the elements	0.025	eV per atom

Structure (CIF):
```
data_TbY5Er6
_chemical_formula_sum 'Tb2 Y10 Er12'
_cell_length_a 6.1324
_cell_length_b 10.6061
_cell_length_c 11.7292
_cell_angle_alpha 90.00
_cell_angle_beta 100.00
_cell_angle_gamma 90.00
_space_group_name_H-M_alt 'C 1 2/m 1'
_space_group_IT_number 12
loop_
_space_group_symop_operation_xyz
'x,y,z'
'-x,-y,-z'
'-x,y,-z'
'x,-y,z'
'x+1/2,y+1/2,z'
'-x+1/2,-y+1/2,-z'
'-x+1/2,y+1/2,-z'
'x+1/2,-y+1/2,z'
loop_
_atom_site_label
_atom_site_fract_x
_atom_site_fract_y
_atom_site_fract_z
Tb1 0.0000 0.0000 0.0000
Y1 0.0000 0.1668 0.5000
Y2 0.0000 0.3333 0.0000
Y3 0.0000 0.5000 0.5000
Er1 0.2493 0.0000 0.7502
Er2 0.2498 0.1664 0.2498
```


The following is a PBE-GGA calculation of an optimized crystal structure of Tb2Y2Er5, from Alexandria.

N(E_F)	39.139	states/eV/cell
energy above the most stable polymorph in this dataset	0	meV/atom
formation energy from the elements	0.122	eV per atom

Structure (CIF):
```
data_Tb2Y2Er5
_chemical_formula_sum 'Tb4 Y4 Er10'
_cell_length_a 16.2797
_cell_length_b 5.7485
_cell_length_c 6.2955
_cell_angle_alpha 90.00
_cell_angle_beta 105.44
_cell_angle_gamma 90.00
_space_group_name_H-M_alt 'C 1 2/m 1'
_space_group_IT_number 12
loop_
_space_group_symop_operation_xyz
'x,y,z'
'-x,-y,-z'
'-x,y,-z'
'x,-y,z'
'x+1/2,y+1/2,z'
'-x+1/2,-y+1/2,-z'
'-x+1/2,y+1/2,-z'
'x+1/2,-y+1/2,z'
loop_
_atom_site_label
_atom_site_fract_x
_atom_site_fract_y
_atom_site_fract_z
Tb1 0.1019 0.0000 0.0127
Y1 0.0612 0.5000 0.2889
Er1 0.0000 0.0000 0.5000
Er2 0.1797 0.5000 0.8569
Er3 0.2092 0.0000 0.5722
```


The following is a PBE-GGA calculation of an optimized crystal structure of Tb4YEr10, from Alexandria.

N(E_F)	33.148	states/eV/cell
formation energy from the elements	0.744	eV per atom

Structure (CIF):
```
data_Tb4YEr10
_chemical_formula_sum 'Tb8 Y2 Er20'
_cell_length_a 12.0931
_cell_length_b 12.0931
_cell_length_c 7.6354
_cell_angle_alpha 90.00
_cell_angle_beta 90.00
_cell_angle_gamma 90.00
_space_group_name_H-M_alt 'I 4/m'
_space_group_IT_number 87
_space_group_name_Hall '-I 4'
loop_
_atom_site_label
_atom_site_fract_x
_atom_site_fract_y
_atom_site_fract_z
Tb1 0.1003 0.2996 0.0000
Y1 0.0000 0.0000 0.5000
Er1 0.0000 0.5000 0.2500
Er2 0.0999 0.7989 0.2494
```


The following is a PBE-GGA calculation of an optimized crystal structure of Tb2Y3Er6, from Alexandria.

N(E_F)	18.804	states/eV/cell
energy above the most stable polymorph in this dataset	0	meV/atom
formation energy from the elements	0.086	eV per atom

Structure (CIF):
```
data_Tb2Y3Er6
_chemical_formula_sum 'Tb2 Y3 Er6'
_cell_length_a 5.9956
_cell_length_b 8.2806
_cell_length_c 8.3211
_cell_angle_alpha 105.33
_cell_angle_beta 108.20
_cell_angle_gamma 106.52
_space_group_name_H-M_alt 'P -1'
_space_group_IT_number 2
loop_
_space_group_symop_operation_xyz
'x,y,z'
'-x,-y,-z'
loop_
_atom_site_label
_atom_site_fract_x
_atom_site_fract_y
_atom_site_fract_z
Tb1 0.1666 0.3096 0.3608
Y1 0.0000 0.5000 0.0000
Y2 0.2986 0.7781 0.4586
Er1 0.2272 0.1442 0.7389
Er2 0.2641 0.9577 0.0867
Er3 0.3827 0.5953 0.8021
```